Record 1
Computed, not measured: a relaxed structure of NdBe2Br6 at the PBE-GGA level of DFT.

The structure in CIF format:
```
data_NdBe2Br6
_cell_length_a 6.979
_cell_length_b 6.979
_cell_length_c 11.505
_cell_angle_alpha 110.81
_cell_angle_beta 110.81
_cell_angle_gamma 30.34
_space_group_name_H-M_alt 'P 1'
_space_group_IT_number 1
_space_group_name_Hall 'P 1'
loop_
_atom_site_label
_atom_site_fract_x
_atom_site_fract_y
_atom_site_fract_z
Be1 0.333 0.333 0.285
Be2 0.667 0.667 0.715
Br1 0.188 0.188 0.108
Br2 0.479 0.479 0.249
Br3 0.825 0.825 0.394
Br4 0.175 0.175 0.606
Br5 0.521 0.521 0.751
Br6 0.812 0.812 0.892
Nd1 0.500 0.500 0.000
```

## Properties
crystal system = monoclinic
density = 4.049 g cm⁻³

Record 2
Computed, not measured: a relaxed structure of PrPaSi at the PBE-GGA level of DFT.

The structure in CIF format:
```
data_PrPaSi
_cell_length_a 4.892
_cell_length_b 4.892
_cell_length_c 4.892
_cell_angle_alpha 60.00
_cell_angle_beta 60.00
_cell_angle_gamma 60.00
_space_group_name_H-M_alt 'P 1'
_space_group_IT_number 1
_space_group_name_Hall 'P 1'
loop_
_atom_site_label
_atom_site_fract_x
_atom_site_fract_y
_atom_site_fract_z
Pa1 0.250 0.250 0.250
Pr1 0.750 0.750 0.750
Si1 0.000 0.000 0.000
```

## Properties
crystal system = cubic
density = 8.027 g cm⁻³

Number 1: total DFT energy (no corrections) -3.628 eV/atom. Number 2: total DFT energy (no corrections) -6.543 eV/atom.